# CeScTl2Se4, optimized geometry, DFT PBE
# formation energy from raw total energies: -1.27 eV per atom
data_CeScTl2Se4
_cell_length_a 7.2081
_cell_length_b 4.1617
_cell_length_c 8.0962
_cell_angle_alpha 90.00
_cell_angle_beta 106.95
_cell_angle_gamma 90.00
_symmetry_space_group_name_H-M 'P 1 2/m 1'
_symmetry_Int_Tables_number 10
loop_
_symmetry_equiv_pos_as_xyz
'x,y,z'
'-x,-y,-z'
'-x,y,-z'
'x,-y,z'
loop_
_atom_site_label
_atom_site_type_symbol
_atom_site_fract_x
_atom_site_fract_y
_atom_site_fract_z
Ce1 Ce 0.0000 0.0000 0.0000
Sc1 Sc 0.5000 0.5000 0.0000
Tl1 Tl 0.0000 0.5000 0.5000
Tl2 Tl 0.5000 0.0000 0.5000
Se1 Se 0.2529 0.5000 0.2054
Se2 Se 0.2850 0.0000 0.8033

# Li2OsPbO6, optimized geometry, DFT PBE
# formation energy from raw total energies: -1.25 eV per atom
data_Li2OsPbO6
_cell_length_a 9.6802
_cell_length_b 5.7675
_cell_length_c 5.3757
_cell_angle_alpha 90.00
_cell_angle_beta 122.61
_cell_angle_gamma 90.00
_symmetry_space_group_name_H-M 'C 1 2/m 1'
_symmetry_Int_Tables_number 12
loop_
_symmetry_equiv_pos_as_xyz
'x,y,z'
'-x,-y,-z'
'-x,y,-z'
'x,-y,z'
'x+1/2,y+1/2,z'
'-x+1/2,-y+1/2,-z'
'-x+1/2,y+1/2,-z'
'x+1/2,-y+1/2,z'
loop_
_atom_site_label
_atom_site_type_symbol
_atom_site_fract_x
_atom_site_fract_y
_atom_site_fract_z
Li1 Li 0.2429 0.0000 0.3087
Os1 Os 0.0000 0.0000 0.5000
Pb1 Pb 0.0000 0.5000 0.0000
O1 O 0.0975 0.2304 0.3962
O2 O 0.1875 0.0000 0.8886

# Sn6HgAu5, optimized geometry, DFT PBE
# ΔE_f: -0.126 eV per atom
data_Sn6HgAu5
_cell_length_a 6.8502
_cell_length_b 11.5000
_cell_length_c 7.6505
_cell_angle_alpha 90.00
_cell_angle_beta 105.63
_cell_angle_gamma 90.00
_symmetry_space_group_name_H-M 'C 1 2/m 1'
_symmetry_Int_Tables_number 12
loop_
_symmetry_equiv_pos_as_xyz
'x,y,z'
'-x,-y,-z'
'-x,y,-z'
'x,-y,z'
'x+1/2,y+1/2,z'
'-x+1/2,-y+1/2,-z'
'-x+1/2,y+1/2,-z'
'x+1/2,-y+1/2,z'
loop_
_atom_site_label
_atom_site_type_symbol
_atom_site_fract_x
_atom_site_fract_y
_atom_site_fract_z
Sn1 Sn 0.2044 0.0000 0.2260
Sn2 Sn 0.2170 0.1862 0.7183
Hg1 Hg 0.0000 0.5000 0.0000
Au1 Au 0.0000 0.0000 0.5000
Au2 Au 0.0000 0.1854 0.0000
Au3 Au 0.0000 0.3693 0.5000

# Hf2Si2Mo, optimized geometry, DFT PBE
# formation energy from raw total energies: -0.78 eV per atom
data_Hf2Si2Mo
_cell_length_a 6.6713
_cell_length_b 6.6713
_cell_length_c 3.7679
_cell_angle_alpha 90.00
_cell_angle_beta 90.00
_cell_angle_gamma 90.00
_symmetry_space_group_name_H-M 'P 4/m b m'
_symmetry_Int_Tables_number 127
_symmetry_space_group_name_Hall '-P 4 2ab'
loop_
_atom_site_label
_atom_site_type_symbol
_atom_site_fract_x
_atom_site_fract_y
_atom_site_fract_z
Hf1 Hf 0.1744 0.3256 0.0000
Si1 Si 0.1278 0.6278 0.5000
Mo1 Mo 0.0000 0.0000 0.5000

no.,calculated volume (Å³/atom)
1,29.0
2,12.6
3,24.2
4,16.8